The following is a PBE+U calculation of a relaxed Ac2CrPbO6 crystal, from Alexandria.

```
Ac2CrPbO6
1.0
-0.4496 -0.5286 5.0193
-0.7603 -5.6389 -0.6620
5.6548 -0.8119 0.4211
O Cr Pb Ac
6 1 1 2
Cartesian
0.8089 -1.8780 3.5785
3.4344 -5.3384 3.4492
-0.1039 -0.1222 1.1600
3.8423 -2.3135 3.8043
2.3951 -3.2867 0.4613
0.4010 -4.9028 3.2234
-0.2734 -0.3215 3.0524
2.1937 -3.5235 2.7099
2.8203 -0.4143 0.2894
-0.3872 -2.8277 -0.2522
```

raw total energy	-71.68	eV per cell
ρ	8.08	g/cm³